Entry 1:
# K2Se5S4 PBE-GGA relaxed
data_K2Se5S4
_symmetry_space_group_name_H-M 'P 1'
_symmetry_Int_Tables_number 1
_cell_length_a 6.325
_cell_length_b 6.539
_cell_length_c 9.657
_cell_angle_alpha 91.07
_cell_angle_beta 99.00
_cell_angle_gamma 108.27
loop_
_symmetry_equiv_pos_as_xyz
'x,y,z'
loop_
_atom_site_label
_atom_site_type_symbol
_atom_site_fract_x
_atom_site_fract_y
_atom_site_fract_z
K1 K 0.000 0.000 0.000
K2 K 0.350 0.751 0.546
Se1 Se 0.308 0.466 0.217
Se2 Se 0.399 0.718 0.013
Se3 Se 0.621 0.379 0.141
Se4 Se 0.681 0.097 0.274
Se5 Se 0.900 0.824 0.665
S1 S 0.177 0.485 0.828
S2 S 0.248 0.176 0.394
S3 S 0.870 0.532 0.788
S4 S 0.980 0.240 0.454
# * electronic total energy: -39.9 eV per cell
# * raw formation energy: -339.5 meV/atom
# * space group: P1 (1)

***

Entry 2:
# KSeS2 PBE-GGA relaxed
data_KSeS2
_symmetry_space_group_name_H-M 'P 1'
_symmetry_Int_Tables_number 1
_cell_length_a 4.536
_cell_length_b 4.536
_cell_length_c 24.934
_cell_angle_alpha 90.00
_cell_angle_beta 90.00
_cell_angle_gamma 120.00
loop_
_symmetry_equiv_pos_as_xyz
'x,y,z'
loop_
_atom_site_label
_atom_site_type_symbol
_atom_site_fract_x
_atom_site_fract_y
_atom_site_fract_z
K1 K 0.000 0.000 0.000
K2 K 0.333 0.667 0.667
K3 K 0.667 0.333 0.333
Se1 Se 0.000 0.000 0.500
Se2 Se 0.333 0.667 0.167
Se3 Se 0.667 0.333 0.833
S1 S 0.000 0.000 0.409
S2 S 0.000 0.000 0.591
S3 S 0.333 0.667 0.076
S4 S 0.333 0.667 0.257
S5 S 0.667 0.333 0.743
S6 S 0.667 0.333 0.924
# * electronic total energy: -38.1 eV per cell
# * raw formation energy: 34.4 meV/atom
# * space group: R-3m (166)

***

Entry 3:
# K2Se3S8 PBE-GGA relaxed
data_K2Se3S8
_symmetry_space_group_name_H-M 'P 1'
_symmetry_Int_Tables_number 1
_cell_length_a 6.720
_cell_length_b 6.743
_cell_length_c 10.318
_cell_angle_alpha 72.94
_cell_angle_beta 73.77
_cell_angle_gamma 76.83
loop_
_symmetry_equiv_pos_as_xyz
'x,y,z'
loop_
_atom_site_label
_atom_site_type_symbol
_atom_site_fract_x
_atom_site_fract_y
_atom_site_fract_z
K1 K 0.246 0.251 0.382
K2 K 0.754 0.749 0.618
Se1 Se 0.309 0.310 0.982
Se2 Se 0.500 0.500 0.500
Se3 Se 0.691 0.690 0.018
S1 S 0.216 0.765 0.402
S2 S 0.239 0.784 0.595
S3 S 0.252 0.662 0.922
S4 S 0.339 0.746 0.076
S5 S 0.661 0.254 0.924
S6 S 0.748 0.338 0.078
S7 S 0.761 0.216 0.405
S8 S 0.784 0.235 0.598
# * electronic total energy: -48.4 eV per cell
# * raw formation energy: -213.2 meV/atom
# * space group: P-1 (2)

***

Entry 4:
# KSe2S PBE-GGA relaxed
data_KSe2S
_symmetry_space_group_name_H-M 'P 1'
_symmetry_Int_Tables_number 1
_cell_length_a 5.582
_cell_length_b 5.582
_cell_length_c 17.533
_cell_angle_alpha 90.00
_cell_angle_beta 90.00
_cell_angle_gamma 120.00
loop_
_symmetry_equiv_pos_as_xyz
'x,y,z'
loop_
_atom_site_label
_atom_site_type_symbol
_atom_site_fract_x
_atom_site_fract_y
_atom_site_fract_z
K1 K 0.000 0.000 0.000
K2 K 0.333 0.667 0.667
K3 K 0.667 0.333 0.333
Se1 Se 0.000 0.000 0.368
Se2 Se 0.000 0.000 0.632
Se3 Se 0.333 0.667 0.035
Se4 Se 0.333 0.667 0.299
Se5 Se 0.667 0.333 0.701
Se6 Se 0.667 0.333 0.965
S1 S 0.000 0.000 0.500
S2 S 0.333 0.667 0.167
S3 S 0.667 0.333 0.833
# * electronic total energy: -37.2 eV per cell
# * raw formation energy: -49.2 meV/atom
# * space group: R-3m (166)

***

Entry 5:
# K2Se2S3 PBE-GGA relaxed
data_K2Se2S3
_symmetry_space_group_name_H-M 'P 1'
_symmetry_Int_Tables_number 1
_cell_length_a 13.844
_cell_length_b 4.428
_cell_length_c 6.666
_cell_angle_alpha 90.00
_cell_angle_beta 94.14
_cell_angle_gamma 90.00
loop_
_symmetry_equiv_pos_as_xyz
'x,y,z'
loop_
_atom_site_label
_atom_site_type_symbol
_atom_site_fract_x
_atom_site_fract_y
_atom_site_fract_z
K1 K 0.135 0.000 0.221
K2 K 0.365 0.500 0.779
K3 K 0.635 0.500 0.221
K4 K 0.865 0.000 0.779
Se1 Se 0.105 0.500 0.709
Se2 Se 0.395 0.000 0.291
Se3 Se 0.605 0.000 0.709
Se4 Se 0.895 0.500 0.291
S1 S 0.000 0.500 0.000
S2 S 0.170 0.000 0.729
S3 S 0.330 0.500 0.271
S4 S 0.500 0.000 0.000
S5 S 0.670 0.500 0.729
S6 S 0.830 0.000 0.271
# * electronic total energy: -50.0 eV per cell
# * raw formation energy: -494.2 meV/atom
# * space group: C2/m (12)

***

Entry 6:
# KSe2S PBE-GGA relaxed
data_KSe2S
_symmetry_space_group_name_H-M 'P 1'
_symmetry_Int_Tables_number 1
_cell_length_a 6.636
_cell_length_b 6.636
_cell_length_c 13.083
_cell_angle_alpha 90.00
_cell_angle_beta 90.00
_cell_angle_gamma 90.00
loop_
_symmetry_equiv_pos_as_xyz
'x,y,z'
loop_
_atom_site_label
_atom_site_type_symbol
_atom_site_fract_x
_atom_site_fract_y
_atom_site_fract_z
K1 K 0.000 0.000 0.000
K2 K 0.000 0.500 0.250
K3 K 0.500 0.000 0.750
K4 K 0.500 0.500 0.500
Se1 Se 0.115 0.250 0.625
Se2 Se 0.250 0.615 0.875
Se3 Se 0.250 0.885 0.375
Se4 Se 0.385 0.250 0.125
Se5 Se 0.615 0.750 0.125
Se6 Se 0.750 0.115 0.375
Se7 Se 0.750 0.385 0.875
Se8 Se 0.885 0.750 0.625
S1 S 0.000 0.000 0.500
S2 S 0.000 0.500 0.750
S3 S 0.500 0.000 0.250
S4 S 0.500 0.500 0.000
# * electronic total energy: -51.7 eV per cell
# * raw formation energy: -182.2 meV/atom
# * space group: I-42d (122)

***

Entry 7:
# K2Se3S2 PBE-GGA relaxed
data_K2Se3S2
_symmetry_space_group_name_H-M 'P 1'
_symmetry_Int_Tables_number 1
_cell_length_a 4.779
_cell_length_b 4.768
_cell_length_c 10.527
_cell_angle_alpha 90.00
_cell_angle_beta 101.31
_cell_angle_gamma 90.00
loop_
_symmetry_equiv_pos_as_xyz
'x,y,z'
loop_
_atom_site_label
_atom_site_type_symbol
_atom_site_fract_x
_atom_site_fract_y
_atom_site_fract_z
K1 K 0.158 0.000 0.300
K2 K 0.842 0.000 0.700
Se1 Se 0.373 0.500 0.099
Se2 Se 0.500 0.500 0.500
Se3 Se 0.627 0.500 0.901
S1 S 0.332 0.500 0.710
S2 S 0.668 0.500 0.290
# * electronic total energy: -24.2 eV per cell
# * raw formation energy: -471.6 meV/atom
# * space group: P2/m (10)

***

Entry 8:
# K2SeS PBE-GGA relaxed
data_K2SeS
_symmetry_space_group_name_H-M 'P 1'
_symmetry_Int_Tables_number 1
_cell_length_a 7.228
_cell_length_b 6.553
_cell_length_c 12.685
_cell_angle_alpha 90.00
_cell_angle_beta 121.31
_cell_angle_gamma 90.00
loop_
_symmetry_equiv_pos_as_xyz
'x,y,z'
loop_
_atom_site_label
_atom_site_type_symbol
_atom_site_fract_x
_atom_site_fract_y
_atom_site_fract_z
K1 K 0.038 0.239 0.406
K2 K 0.038 0.261 0.906
K3 K 0.446 0.237 0.845
K4 K 0.446 0.263 0.345
K5 K 0.554 0.737 0.655
K6 K 0.554 0.763 0.155
K7 K 0.962 0.739 0.094
K8 K 0.962 0.761 0.594
Se1 Se 0.111 0.739 0.385
Se2 Se 0.111 0.761 0.885
Se3 Se 0.889 0.239 0.115
Se4 Se 0.889 0.261 0.615
S1 S 0.403 0.740 0.861
S2 S 0.403 0.760 0.361
S3 S 0.597 0.240 0.639
S4 S 0.597 0.260 0.139
# * electronic total energy: -53.3 eV per cell
# * distance to the lowest polymorph of the same formula: 1.2 kJ/mol of atoms
# * raw formation energy: -878.1 meV/atom
# * space group: P2_1/c (14)

***

Entry 9:
# KSeS2 PBE-GGA relaxed
data_KSeS2
_symmetry_space_group_name_H-M 'P 1'
_symmetry_Int_Tables_number 1
_cell_length_a 5.259
_cell_length_b 14.851
_cell_length_c 7.519
_cell_angle_alpha 90.00
_cell_angle_beta 90.63
_cell_angle_gamma 90.00
loop_
_symmetry_equiv_pos_as_xyz
'x,y,z'
loop_
_atom_site_label
_atom_site_type_symbol
_atom_site_fract_x
_atom_site_fract_y
_atom_site_fract_z
K1 K 0.000 0.168 0.250
K2 K 0.000 0.832 0.750
K3 K 0.500 0.332 0.750
K4 K 0.500 0.668 0.250
Se1 Se 0.000 0.442 0.250
Se2 Se 0.000 0.558 0.750
Se3 Se 0.500 0.058 0.750
Se4 Se 0.500 0.942 0.250
S1 S 0.003 0.357 0.017
S2 S 0.003 0.643 0.517
S3 S 0.497 0.143 0.983
S4 S 0.497 0.857 0.483
S5 S 0.503 0.143 0.517
S6 S 0.503 0.857 0.017
S7 S 0.997 0.357 0.483
S8 S 0.997 0.643 0.983
# * electronic total energy: -57.9 eV per cell
# * raw formation energy: -407.2 meV/atom
# * space group: C2/c (15)

***

Entry 10:
# K2Se3S PBE-GGA relaxed
data_K2Se3S
_symmetry_space_group_name_H-M 'P 1'
_symmetry_Int_Tables_number 1
_cell_length_a 6.690
_cell_length_b 6.690
_cell_length_c 10.291
_cell_angle_alpha 111.76
_cell_angle_beta 111.76
_cell_angle_gamma 61.28
loop_
_symmetry_equiv_pos_as_xyz
'x,y,z'
loop_
_atom_site_label
_atom_site_type_symbol
_atom_site_fract_x
_atom_site_fract_y
_atom_site_fract_z
K1 K 0.018 0.661 0.875
K2 K 0.339 0.982 0.625
K3 K 0.661 0.018 0.375
K4 K 0.982 0.339 0.125
Se1 Se 0.146 0.854 0.250
Se2 Se 0.189 0.509 0.530
Se3 Se 0.491 0.811 0.970
Se4 Se 0.509 0.189 0.030
Se5 Se 0.811 0.491 0.470
Se6 Se 0.854 0.146 0.750
S1 S 0.475 0.525 0.250
S2 S 0.525 0.475 0.750
# * electronic total energy: -40.7 eV per cell
# * raw formation energy: -594.9 meV/atom
# * space group: C2/c (15)

***

Entry 11:
# KSeS5 PBE-GGA relaxed
data_KSeS5
_symmetry_space_group_name_H-M 'P 1'
_symmetry_Int_Tables_number 1
_cell_length_a 5.809
_cell_length_b 6.186
_cell_length_c 6.725
_cell_angle_alpha 114.31
_cell_angle_beta 101.21
_cell_angle_gamma 90.03
loop_
_symmetry_equiv_pos_as_xyz
'x,y,z'
loop_
_atom_site_label
_atom_site_type_symbol
_atom_site_fract_x
_atom_site_fract_y
_atom_site_fract_z
K1 K 0.000 0.000 0.000
Se1 Se 0.020 0.505 0.508
S1 S 0.036 0.052 0.523
S2 S 0.390 0.090 0.624
S3 S 0.404 0.558 0.624
S4 S 0.488 0.256 0.955
S5 S 0.493 0.692 0.955
# * electronic total energy: -26.8 eV per cell
# * raw formation energy: -221.7 meV/atom
# * space group: P1 (1)

***

Entry 12:
# K2SeS PBE-GGA relaxed
data_K2SeS
_symmetry_space_group_name_H-M 'P 1'
_symmetry_Int_Tables_number 1
_cell_length_a 11.603
_cell_length_b 11.603
_cell_length_c 5.249
_cell_angle_alpha 90.00
_cell_angle_beta 90.00
_cell_angle_gamma 90.00
loop_
_symmetry_equiv_pos_as_xyz
'x,y,z'
loop_
_atom_site_label
_atom_site_type_symbol
_atom_site_fract_x
_atom_site_fract_y
_atom_site_fract_z
K1 K 0.028 0.250 0.125
K2 K 0.250 0.528 0.375
K3 K 0.250 0.972 0.875
K4 K 0.472 0.250 0.625
K5 K 0.528 0.750 0.625
K6 K 0.750 0.028 0.875
K7 K 0.750 0.472 0.375
K8 K 0.972 0.750 0.125
Se1 Se 0.000 0.000 0.500
Se2 Se 0.000 0.500 0.750
Se3 Se 0.500 0.000 0.250
Se4 Se 0.500 0.500 0.000
S1 S 0.000 0.000 0.000
S2 S 0.000 0.500 0.250
S3 S 0.500 0.000 0.750
S4 S 0.500 0.500 0.500
# * electronic total energy: -49.8 eV per cell
# * distance to the lowest polymorph of the same formula: 22.3 kJ/mol of atoms
# * raw formation energy: -658.5 meV/atom
# * space group: I-42d (122)